Entry from the Alexandria database: Li3Tm3SbO8 after structural relaxation (PBE). Values from VASP.

## Properties
Raw formation energy = -2571 meV per atom
Raw total energy = -6.767 eV/atom
M_tot = 0.0 μB/cell

Quantum ESPRESSO input file:
```
&SYSTEM
  ibrav = 0, nat = 15, ntyp = 4
/
ATOMIC_SPECIES
Li 6.94 Li.upf
Tm 168.93 Tm.upf
Sb 121.76 Sb.upf
O 16.00 O.upf
CELL_PARAMETERS angstrom
3.327 1.921 5.021
-3.327 1.921 5.021
0.000 -3.842 5.021
ATOMIC_POSITIONS angstrom
Li -1.663 -0.960 5.021
Li -1.663 0.960 10.043
Li 0.000 1.921 5.021
Tm -3.327 0.000 7.532
Tm -1.663 0.960 2.511
Tm 1.663 0.960 2.511
Sb 0.000 0.000 7.532
O 0.000 0.000 3.655
O -1.575 -0.910 8.660
O 0.000 -1.819 6.404
O -1.575 0.910 6.404
O 1.575 -0.910 8.660
O 0.000 1.819 8.660
O 1.575 0.910 6.404
O 0.000 0.000 11.409
```

Entry from the Alexandria database: RePt2Pb after structural relaxation (PBE). Values from VASP.

## Properties
Calculated formation energy = 0.243 eV per atom
Raw total energy = -6.817 eV/atom
M_tot = 0.0 μB/cell

Quantum ESPRESSO input file:
```
&SYSTEM
  ibrav = 0, nat = 4, ntyp = 3
/
ATOMIC_SPECIES
Re 186.21 Re.upf
Pt 195.08 Pt.upf
Pb 207.20 Pb.upf
CELL_PARAMETERS angstrom
2.857 0.000 0.000
0.000 3.644 0.000
0.000 0.000 7.233
ATOMIC_POSITIONS angstrom
Re 0.000 0.000 0.000
Pt 1.429 1.822 1.426
Pt 1.429 1.822 5.807
Pb 0.000 0.000 3.616
```

Entry from the Alexandria database: La13Al2 after structural relaxation (PBE). Values from VASP.

## Properties
Calculated formation energy = -0.077 eV per atom
Raw total energy = -4.847 eV/atom
M_tot = 0.0 μB/cell

Quantum ESPRESSO input file:
```
&SYSTEM
  ibrav = 0, nat = 15, ntyp = 2
/
ATOMIC_SPECIES
La 138.91 La.upf
Al 26.98 Al.upf
CELL_PARAMETERS angstrom
6.493 0.000 0.000
0.472 8.888 0.000
0.558 4.027 8.803
ATOMIC_POSITIONS angstrom
La 0.000 0.000 0.000
La 1.251 2.943 2.239
La 1.901 6.922 7.204
La 2.172 6.189 3.620
La 2.869 9.815 8.795
La 2.804 9.829 5.165
La 3.712 3.995 6.938
La 3.811 8.920 1.865
La 4.719 3.086 3.638
La 4.653 3.100 0.008
La 5.351 6.726 5.183
La 5.622 5.993 1.600
La 6.272 9.972 6.564
Al 0.722 3.947 5.524
Al 6.801 8.968 3.280
```

Entry from the Alexandria database: CeEuEr2 after structural relaxation (PBE). Values from VASP.

## Properties
Calculated formation energy = 0.168 eV per atom
Raw total energy = -6.166 eV/atom
M_tot = 5.9 μB/cell

Quantum ESPRESSO input file:
```
&SYSTEM
  ibrav = 0, nat = 4, ntyp = 3
/
ATOMIC_SPECIES
Ce 140.12 Ce.upf
Eu 151.96 Eu.upf
Er 167.26 Er.upf
CELL_PARAMETERS angstrom
5.108 0.000 0.000
0.000 5.108 0.000
0.000 0.000 4.965
ATOMIC_POSITIONS angstrom
Ce 0.000 0.000 0.000
Eu 2.554 2.554 0.000
Er 0.000 2.554 2.483
Er 2.554 0.000 2.483
```

Entry from the Alexandria database: ZrPb2 after structural relaxation (PBE). Values from VASP.

## Properties
Calculated formation energy = 0.002 eV per atom
Raw total energy = -5.319 eV/atom
M_tot = 0.0 μB/cell

Quantum ESPRESSO input file:
```
&SYSTEM
  ibrav = 0, nat = 3, ntyp = 2
/
ATOMIC_SPECIES
Zr 91.22 Zr.upf
Pb 207.20 Pb.upf
CELL_PARAMETERS angstrom
-1.752 2.113 5.244
1.752 -2.113 5.244
1.752 2.113 -5.244
ATOMIC_POSITIONS angstrom
Zr 0.000 0.000 0.000
Pb 0.000 0.000 3.598
Pb 0.000 0.000 6.890
```

Entry from the Alexandria database: Np3Ti5S12 after structural relaxation (PBE). Values from VASP.

## Properties
Raw formation energy = -1257 meV per atom
Raw total energy = -7.648 eV/atom
M_tot = 68.2 μB/cell

Quantum ESPRESSO input file:
```
&SYSTEM
  ibrav = 0, nat = 80, ntyp = 3
/
ATOMIC_SPECIES
Np 237.00 Np.upf
Ti 47.87 Ti.upf
S 32.06 S.upf
CELL_PARAMETERS angstrom
-7.551 7.551 7.551
7.551 -7.551 7.551
7.551 7.551 -7.551
ATOMIC_POSITIONS angstrom
Np 3.775 1.888 0.000
Np 7.551 3.775 -1.888
Np 1.888 0.000 3.775
Np 9.438 0.000 3.775
Np 0.000 3.775 1.888
Np 3.775 -1.888 7.551
Np 3.775 9.438 0.000
Np 7.551 3.775 5.663
Np -1.888 7.551 3.775
Np 5.663 7.551 3.775
Np 0.000 3.775 9.438
Np 3.775 5.663 7.551
Ti 0.000 0.000 0.000
Ti 3.775 3.775 -3.775
Ti 3.775 -3.775 3.775
Ti 7.551 0.000 0.000
Ti 11.326 1.888 0.000
Ti 7.551 -3.775 5.663
Ti 5.663 7.551 -3.775
Ti 5.663 0.000 3.775
Ti 3.775 5.663 0.000
Ti 7.551 3.775 1.888
Ti -3.775 3.775 3.775
Ti 0.000 7.551 0.000
Ti 0.000 0.000 7.551
Ti 3.775 3.775 3.775
Ti 0.000 3.775 5.663
Ti 3.775 1.888 7.551
Ti 1.888 7.551 3.775
Ti 1.888 0.000 11.326
Ti 0.000 11.326 1.888
Ti -3.775 5.663 7.551
S 2.273 -0.418 0.936
S 9.053 4.711 -4.194
S 7.132 -0.936 2.273
S 11.744 -1.503 2.840
S 9.823 0.418 0.936
S 9.053 -2.840 4.194
S 0.936 2.273 -0.418
S 10.390 3.357 -1.503
S 4.711 4.194 -1.503
S 6.615 2.273 0.418
S -0.418 0.936 2.273
S 4.194 -1.503 4.711
S 7.132 6.615 -2.273
S 4.194 1.503 2.840
S 6.615 -2.273 7.132
S 4.711 -4.194 9.053
S 2.840 4.194 1.503
S 8.486 5.278 0.418
S 2.273 7.132 -0.936
S 9.053 2.840 3.357
S 4.194 9.053 -2.840
S 7.132 0.936 5.278
S 1.503 2.840 4.194
S 2.273 0.418 6.615
S 5.278 7.132 0.936
S 6.048 4.711 3.357
S 0.418 6.615 2.273
S 3.357 -1.503 10.390
S -1.503 4.711 4.194
S 5.278 0.418 8.486
S -0.936 2.273 7.132
S 4.711 3.357 6.048
S 2.840 11.744 -1.503
S 0.936 9.823 0.418
S 3.357 6.048 4.711
S 0.418 0.936 9.823
S 3.357 9.053 2.840
S 7.969 6.615 5.278
S 0.936 5.278 7.132
S 2.840 3.357 9.053
S -2.840 4.194 9.053
S 6.615 5.278 7.969
S -1.503 10.390 3.357
S -2.273 7.132 6.615
S -4.194 9.053 4.711
S 0.418 8.486 5.278
S -1.503 2.840 11.744
S 5.278 7.969 6.615
```

Entry from the Alexandria database: HoTiAgPb after structural relaxation (PBE). Values from VASP.

## Properties
Calculated formation energy = -0.107 eV per atom
Raw total energy = -4.865 eV/atom
M_tot = 2.0 μB/cell

Quantum ESPRESSO input file:
```
&SYSTEM
  ibrav = 0, nat = 4, ntyp = 4
/
ATOMIC_SPECIES
Ho 164.93 Ho.upf
Ti 47.87 Ti.upf
Ag 107.87 Ag.upf
Pb 207.20 Pb.upf
CELL_PARAMETERS angstrom
0.000 3.570 3.570
3.570 0.000 3.570
3.570 3.570 0.000
ATOMIC_POSITIONS angstrom
Ho 0.000 0.000 0.000
Ti 3.570 3.570 3.570
Ag 5.355 5.355 5.355
Pb 1.785 1.785 1.785
```

Entry from the Alexandria database: K2FeAs after structural relaxation (PBE). Values from VASP.

## Properties
Calculated formation energy = 0.452 eV per atom
Raw total energy = -3.375 eV/atom
M_tot = 3.1 μB/cell

Quantum ESPRESSO input file:
```
&SYSTEM
  ibrav = 0, nat = 4, ntyp = 3
/
ATOMIC_SPECIES
K 39.10 K.upf
Fe 55.84 Fe.upf
As 74.92 As.upf
CELL_PARAMETERS angstrom
0.000 3.661 3.661
3.661 0.000 3.661
3.661 3.661 0.000
ATOMIC_POSITIONS angstrom
K 0.000 0.000 0.000
K 1.830 1.830 1.830
Fe 5.491 5.491 5.491
As 3.661 3.661 3.661
```

Entry from the Alexandria database: LiCa2TeO after structural relaxation (PBE). Values from VASP.

## Properties
Raw formation energy = -1630 meV per atom
Raw total energy = -4.434 eV/atom
M_tot = 0.0 μB/cell

Quantum ESPRESSO input file:
```
&SYSTEM
  ibrav = 0, nat = 5, ntyp = 4
/
ATOMIC_SPECIES
Li 6.94 Li.upf
Ca 40.08 Ca.upf
Te 127.60 Te.upf
O 16.00 O.upf
CELL_PARAMETERS angstrom
4.858 0.000 0.000
0.000 4.858 0.000
0.000 0.000 4.243
ATOMIC_POSITIONS angstrom
Li 0.000 0.000 0.000
Ca 0.000 2.429 2.122
Ca 2.429 0.000 2.122
Te 2.429 2.429 0.000
O 0.000 0.000 2.122
```

Entry from the Alexandria database: Tl4HgPb3 after structural relaxation (PBE). Values from VASP.

## Properties
Calculated formation energy = 0.005 eV per atom
Raw total energy = -2.606 eV/atom
M_tot = 0.0 μB/cell

Quantum ESPRESSO input file:
```
&SYSTEM
  ibrav = 0, nat = 8, ntyp = 3
/
ATOMIC_SPECIES
Tl 204.38 Tl.upf
Hg 200.59 Hg.upf
Pb 207.20 Pb.upf
CELL_PARAMETERS angstrom
9.273 -2.610 0.000
9.273 2.610 0.000
-1.405 0.000 4.989
ATOMIC_POSITIONS angstrom
Tl 2.083 0.000 0.606
Tl 3.566 0.000 3.744
Tl 13.576 0.000 1.245
Tl 15.059 0.000 4.384
Hg -0.702 0.000 2.495
Pb 6.479 0.000 1.898
Pb 9.273 0.000 0.000
Pb 10.663 0.000 3.091
```

Entry from the Alexandria database: TcBr after structural relaxation (PBE). Values from VASP.

## Properties
Raw formation energy = 907 meV per atom
Raw total energy = -5.113 eV/atom
M_tot = 0.0 μB/cell

Quantum ESPRESSO input file:
```
&SYSTEM
  ibrav = 0, nat = 2, ntyp = 2
/
ATOMIC_SPECIES
Tc 98.00 Tc.upf
Br 79.90 Br.upf
CELL_PARAMETERS angstrom
1.542 0.890 4.089
-1.542 0.890 4.089
0.000 -1.781 4.089
ATOMIC_POSITIONS angstrom
Tc 0.000 0.000 0.000
Br 0.000 0.000 6.134
```

Entry from the Alexandria database: Pu2Ga3GePt4 after structural relaxation (PBE). Values from VASP.

## Properties
Calculated formation energy = -0.734 eV per atom
Raw total energy = -7.386 eV/atom
M_tot = 10.6 μB/cell

Quantum ESPRESSO input file:
```
&SYSTEM
  ibrav = 0, nat = 10, ntyp = 4
/
ATOMIC_SPECIES
Pu 244.00 Pu.upf
Ga 69.72 Ga.upf
Ge 72.64 Ge.upf
Pt 195.08 Pt.upf
CELL_PARAMETERS angstrom
4.208 0.000 0.000
0.000 4.208 0.000
0.000 0.000 10.718
ATOMIC_POSITIONS angstrom
Pu 0.000 2.104 2.631
Pu 2.104 0.000 8.088
Ga 0.000 0.000 0.000
Ga 0.000 2.104 6.808
Ga 2.104 0.000 3.911
Ge 2.104 2.104 0.000
Pt 0.000 0.000 5.359
Pt 0.000 2.104 9.282
Pt 2.104 0.000 1.436
Pt 2.104 2.104 5.359
```

Entry from the Alexandria database: La2PuPb after structural relaxation (PBE). Values from VASP.

## Properties
Calculated formation energy = -0.249 eV per atom
Raw total energy = -7.223 eV/atom
M_tot = 6.9 μB/cell

Quantum ESPRESSO input file:
```
&SYSTEM
  ibrav = 0, nat = 4, ntyp = 3
/
ATOMIC_SPECIES
La 138.91 La.upf
Pu 244.00 Pu.upf
Pb 207.20 Pb.upf
CELL_PARAMETERS angstrom
5.091 0.000 0.000
0.000 5.091 0.000
0.000 0.000 4.795
ATOMIC_POSITIONS angstrom
La 0.000 2.546 0.000
La 2.546 0.000 0.000
Pu 0.000 0.000 2.398
Pb 2.546 2.546 2.398
```

Entry from the Alexandria database: RbMg2SbH2 after structural relaxation (PBE). Values from VASP.

## Properties
Raw total energy = -2.793 eV/atom
M_tot = 0.0 μB/cell

Quantum ESPRESSO input file:
```
&SYSTEM
  ibrav = 0, nat = 12, ntyp = 4
/
ATOMIC_SPECIES
Rb 85.47 Rb.upf
Mg 24.30 Mg.upf
Sb 121.76 Sb.upf
H 1.01 H.upf
CELL_PARAMETERS angstrom
7.090 0.000 0.000
0.000 5.853 0.000
-3.067 0.000 7.598
ATOMIC_POSITIONS angstrom
Rb 0.311 1.463 3.535
Rb 3.712 4.389 4.062
Mg 2.017 2.939 0.422
Mg 2.017 5.840 0.422
Mg 2.006 0.012 7.176
Mg 2.006 2.914 7.176
Sb -0.069 4.389 5.751
Sb 4.092 1.463 1.846
H 0.796 1.463 0.314
H 1.475 4.389 1.547
H 2.548 1.463 6.051
H 3.227 4.389 7.284
```

Entry from the Alexandria database: Ce4CoRu2 after structural relaxation (PBE). Values from VASP.

## Properties
Calculated formation energy = -0.250 eV per atom
Raw total energy = -7.306 eV/atom
M_tot = 0.6 μB/cell

Quantum ESPRESSO input file:
```
&SYSTEM
  ibrav = 0, nat = 7, ntyp = 3
/
ATOMIC_SPECIES
Ce 140.12 Ce.upf
Co 58.93 Co.upf
Ru 101.07 Ru.upf
CELL_PARAMETERS angstrom
6.684 -2.075 0.000
6.684 2.075 0.000
-1.893 0.000 5.802
ATOMIC_POSITIONS angstrom
Ce 0.653 0.000 1.635
Ce 4.253 0.000 1.191
Ce 7.223 0.000 4.612
Ce 10.822 0.000 4.168
Co 6.684 0.000 0.000
Ru 2.344 0.000 4.052
Ru 9.132 0.000 1.750
```

Entry from the Alexandria database: Cs2NbIrBr6 after structural relaxation (PBE). Values from VASP.

## Properties
Raw formation energy = -716 meV per atom
Raw total energy = -3.783 eV/atom
M_tot = 4.0 μB/cell

Quantum ESPRESSO input file:
```
&SYSTEM
  ibrav = 0, nat = 10, ntyp = 4
/
ATOMIC_SPECIES
Cs 132.91 Cs.upf
Nb 92.91 Nb.upf
Ir 192.22 Ir.upf
Br 79.90 Br.upf
CELL_PARAMETERS angstrom
0.000 5.407 5.407
5.407 0.000 5.407
5.407 5.407 0.000
ATOMIC_POSITIONS angstrom
Cs 2.704 2.704 2.704
Cs 8.111 8.111 8.111
Nb 0.000 0.000 0.000
Ir 5.407 5.407 5.407
Br 5.407 5.407 2.711
Br 5.407 2.711 5.407
Br 8.103 5.407 5.407
Br 2.711 5.407 5.407
Br 5.407 8.103 5.407
Br 5.407 5.407 8.103
```

Entry from the Alexandria database: NiHg2 after structural relaxation (PBE). Values from VASP.

## Properties
Calculated formation energy = 0.180 eV per atom
Raw total energy = -1.948 eV/atom
M_tot = 0.0 μB/cell

Quantum ESPRESSO input file:
```
&SYSTEM
  ibrav = 0, nat = 6, ntyp = 2
/
ATOMIC_SPECIES
Ni 58.69 Ni.upf
Hg 200.59 Hg.upf
CELL_PARAMETERS angstrom
1.506 -8.644 0.000
1.506 8.644 0.000
0.000 0.000 4.471
ATOMIC_POSITIONS angstrom
Ni 1.506 7.551 3.354
Ni 1.506 -7.551 1.118
Hg 1.506 3.423 1.118
Hg 1.506 1.230 3.354
Hg 1.506 -1.230 1.118
Hg 1.506 -3.423 3.354
```

Entry from the Alexandria database: Ac2DyHf after structural relaxation (PBE). Values from VASP.

## Properties
Calculated formation energy = 0.546 eV per atom
Raw total energy = -5.147 eV/atom
M_tot = 0.0 μB/cell

Quantum ESPRESSO input file:
```
&SYSTEM
  ibrav = 0, nat = 4, ntyp = 3
/
ATOMIC_SPECIES
Ac 227.00 Ac.upf
Dy 162.50 Dy.upf
Hf 178.49 Hf.upf
CELL_PARAMETERS angstrom
1.784 1.030 12.616
-1.784 1.030 12.616
0.000 -2.060 12.616
ATOMIC_POSITIONS angstrom
Ac 0.000 0.000 3.202
Ac 0.000 0.000 34.646
Dy 0.000 0.000 18.924
Hf 0.000 0.000 0.000
```

Entry from the Alexandria database: Dy9TmSc2 after structural relaxation (PBE). Values from VASP.

## Properties
Calculated formation energy = 0.035 eV per atom
Raw total energy = -4.844 eV/atom
M_tot = 0.0 μB/cell

Quantum ESPRESSO input file:
```
&SYSTEM
  ibrav = 0, nat = 12, ntyp = 3
/
ATOMIC_SPECIES
Dy 162.50 Dy.upf
Tm 168.93 Tm.upf
Sc 44.96 Sc.upf
CELL_PARAMETERS angstrom
4.941 0.000 0.000
0.000 4.941 0.000
0.000 0.000 14.791
ATOMIC_POSITIONS angstrom
Dy 0.000 0.000 0.000
Dy 0.000 0.000 4.960
Dy 0.000 0.000 9.832
Dy 0.000 2.470 2.517
Dy 0.000 2.470 7.396
Dy 0.000 2.470 12.274
Dy 2.470 0.000 2.517
Dy 2.470 0.000 7.396
Dy 2.470 0.000 12.274
Tm 2.470 2.470 0.000
Sc 2.470 2.470 4.954
Sc 2.470 2.470 9.837
```

Entry from the Alexandria database: YSbSeO2 after structural relaxation (PBE). Values from VASP.

## Properties
Raw formation energy = -1994 meV per atom
Raw total energy = -6.791 eV/atom
M_tot = 0.0 μB/cell

Quantum ESPRESSO input file:
```
&SYSTEM
  ibrav = 0, nat = 10, ntyp = 4
/
ATOMIC_SPECIES
Y 88.91 Y.upf
Sb 121.76 Sb.upf
Se 78.96 Se.upf
O 16.00 O.upf
CELL_PARAMETERS angstrom
6.508 0.000 0.000
0.000 3.979 0.000
-2.005 0.000 7.362
ATOMIC_POSITIONS angstrom
Y 0.409 0.995 3.148
Y 4.094 2.985 4.214
Sb -0.665 0.995 6.671
Sb 5.168 2.985 0.691
Se 1.419 2.985 5.187
Se 3.084 0.995 2.174
O -1.721 2.985 6.541
O -0.612 2.985 2.661
O 5.115 0.995 4.701
O 6.224 0.995 0.821
```